VASP calculation (PBE) on a relaxed structure of PmTeS2O.

Calculated values
- Formation energy from raw total energies: -1.5083 eV per atom
- DOS at the Fermi energy: 2.14 states/eV per cell

Geometry as CIF:
```
data_PmTeS2O
_cell_length_a 3.995
_cell_length_b 3.995
_cell_length_c 13.355
_cell_angle_alpha 90.00
_cell_angle_beta 90.00
_cell_angle_gamma 90.00
_symmetry_space_group_name_H-M 'P 1'
_symmetry_Int_Tables_number 1
_symmetry_space_group_name_Hall 'P 1'
loop_
_atom_site_label
_atom_site_type_symbol
_atom_site_fract_x
_atom_site_fract_y
_atom_site_fract_z
S1 S 0.500 0.000 0.886
S2 S 0.000 0.500 0.114
S3 S 0.000 0.500 0.695
S4 S 0.500 0.000 0.305
Pm1 Pm 0.500 0.000 0.590
Pm2 Pm 0.000 0.500 0.410
Te1 Te 0.500 0.000 0.124
Te2 Te 0.000 0.500 0.876
O1 O 0.500 0.500 0.500
O2 O 0.000 0.000 0.500
```



VASP calculation (PBE) on a relaxed structure of CaErMgSc.

Calculated values
- DOS at the Fermi energy: 2.94 states/eV per cell
- DFT formation energy: 0.116 eV per atom

Geometry as CIF:
```
data_CaErMgSc
_cell_length_a 5.462
_cell_length_b 5.462
_cell_length_c 5.462
_cell_angle_alpha 60.00
_cell_angle_beta 60.00
_cell_angle_gamma 60.00
_symmetry_space_group_name_H-M 'P 1'
_symmetry_Int_Tables_number 1
_symmetry_space_group_name_Hall 'P 1'
loop_
_atom_site_label
_atom_site_type_symbol
_atom_site_fract_x
_atom_site_fract_y
_atom_site_fract_z
Ca1 Ca 0.750 0.750 0.750
Sc1 Sc 0.000 0.000 0.000
Mg1 Mg 0.500 0.500 0.500
Er1 Er 0.250 0.250 0.250
```



VASP calculation (PBE) on a relaxed structure of HfMgCu2.

Calculated values
- DOS at the Fermi energy: 3.11 states/eV per cell
- DFT formation energy: -0.107 eV per atom

Geometry as CIF:
```
data_HfMgCu2
_cell_length_a 3.172
_cell_length_b 3.172
_cell_length_c 6.572
_cell_angle_alpha 90.00
_cell_angle_beta 90.00
_cell_angle_gamma 90.00
_symmetry_space_group_name_H-M 'P 1'
_symmetry_Int_Tables_number 1
_symmetry_space_group_name_Hall 'P 1'
loop_
_atom_site_label
_atom_site_type_symbol
_atom_site_fract_x
_atom_site_fract_y
_atom_site_fract_z
Cu1 Cu 0.000 0.000 0.255
Cu2 Cu 0.000 0.000 0.745
Mg1 Mg 0.500 0.500 0.000
Hf1 Hf 0.500 0.500 0.500
```



VASP calculation (PBE) on a relaxed structure of CuReW2.

Calculated values
- DOS at the Fermi energy: 3.63 states/eV per cell
- DFT formation energy: 0.313 eV per atom
- Relative energy among the computed polymorphs: 0.0898 eV/atom

Geometry as CIF:
```
data_CuReW2
_cell_length_a 4.812
_cell_length_b 4.812
_cell_length_c 4.812
_cell_angle_alpha 132.22
_cell_angle_beta 132.22
_cell_angle_gamma 69.88
_symmetry_space_group_name_H-M 'P 1'
_symmetry_Int_Tables_number 1
_symmetry_space_group_name_Hall 'P 1'
loop_
_atom_site_label
_atom_site_type_symbol
_atom_site_fract_x
_atom_site_fract_y
_atom_site_fract_z
W1 W 0.000 0.000 0.000
W2 W 0.250 0.750 0.500
Re1 Re 0.750 0.250 0.500
Cu1 Cu 0.500 0.500 0.000
```



VASP calculation (PBE) on a relaxed structure of Mn2CoRe.

Calculated values
- DOS at the Fermi energy: 2.61 states/eV per cell
- DFT formation energy: 0.076 eV per atom

Geometry as CIF:
```
data_Mn2CoRe
_cell_length_a 4.158
_cell_length_b 4.158
_cell_length_c 2.928
_cell_angle_alpha 90.00
_cell_angle_beta 90.00
_cell_angle_gamma 90.00
_symmetry_space_group_name_H-M 'P 1'
_symmetry_Int_Tables_number 1
_symmetry_space_group_name_Hall 'P 1'
loop_
_atom_site_label
_atom_site_type_symbol
_atom_site_fract_x
_atom_site_fract_y
_atom_site_fract_z
Re1 Re 0.500 0.000 0.500
Co1 Co 0.000 0.500 0.500
Mn1 Mn 0.500 0.500 0.000
Mn2 Mn 0.000 0.000 0.000
```



VASP calculation (PBE) on a relaxed structure of NaYNb4N8.

Calculated values
- Formation energy from raw total energies: -0.7655 eV per atom

Geometry as CIF:
```
data_NaYNb4N8
_cell_length_a 6.366
_cell_length_b 6.366
_cell_length_c 6.503
_cell_angle_alpha 60.70
_cell_angle_beta 60.70
_cell_angle_gamma 60.00
_symmetry_space_group_name_H-M 'P 1'
_symmetry_Int_Tables_number 1
_symmetry_space_group_name_Hall 'P 1'
loop_
_atom_site_label
_atom_site_type_symbol
_atom_site_fract_x
_atom_site_fract_y
_atom_site_fract_z
Nb1 Nb 0.002 0.002 0.512
Nb2 Nb 0.485 0.002 0.512
Nb3 Nb 0.623 0.623 0.132
Nb4 Nb 0.002 0.485 0.512
Na1 Na 0.995 0.995 0.015
N1 N 0.760 0.760 0.719
N2 N 0.237 0.237 0.290
N3 N 0.801 0.249 0.701
N4 N 0.735 0.735 0.279
N5 N 0.251 0.735 0.279
N6 N 0.249 0.249 0.701
N7 N 0.735 0.251 0.279
N8 N 0.249 0.801 0.701
Y1 Y 0.377 0.377 0.868
```



VASP calculation (PBE) on a relaxed structure of MnSb2TeI.

Calculated values
- Formation energy from raw total energies: 0.2905 eV per atom
- DOS at the Fermi energy: 5.53 states/eV per cell
- Relative energy among the computed polymorphs: 0.0000 eV/atom

Geometry as CIF:
```
data_MnSb2TeI
_cell_length_a 5.215
_cell_length_b 5.215
_cell_length_c 5.112
_cell_angle_alpha 90.00
_cell_angle_beta 90.00
_cell_angle_gamma 90.00
_symmetry_space_group_name_H-M 'P 1'
_symmetry_Int_Tables_number 1
_symmetry_space_group_name_Hall 'P 1'
loop_
_atom_site_label
_atom_site_type_symbol
_atom_site_fract_x
_atom_site_fract_y
_atom_site_fract_z
Sb1 Sb 0.000 0.500 0.000
Sb2 Sb 0.500 0.000 0.000
I1 I 0.500 0.500 0.500
Mn1 Mn 0.000 0.000 0.000
Te1 Te 0.000 0.000 0.500
```



VASP calculation (PBE) on a relaxed structure of Dy2Sc6Ga.

Calculated values
- DOS at the Fermi energy: 12.92 states/eV per cell
- DFT formation energy: 0.026 eV per atom

Geometry as CIF:
```
data_Dy2Sc6Ga
_cell_length_a 3.242
_cell_length_b 8.853
_cell_length_c 9.188
_cell_angle_alpha 118.80
_cell_angle_beta 95.34
_cell_angle_gamma 90.00
_symmetry_space_group_name_H-M 'P 1'
_symmetry_Int_Tables_number 1
_symmetry_space_group_name_Hall 'P 1'
loop_
_atom_site_label
_atom_site_type_symbol
_atom_site_fract_x
_atom_site_fract_y
_atom_site_fract_z
Sc1 Sc 0.500 0.278 0.000
Sc2 Sc 0.011 0.669 0.672
Sc3 Sc 0.989 0.997 0.328
Sc4 Sc 0.011 0.003 0.672
Sc5 Sc 0.500 0.722 0.000
Sc6 Sc 0.989 0.331 0.328
Dy1 Dy 0.571 0.331 0.662
Dy2 Dy 0.429 0.669 0.338
Ga1 Ga 0.000 0.000 0.000
```



VASP calculation (PBE) on a relaxed structure of NdThPdAu.

Calculated values
- DOS at the Fermi energy: 3.57 states/eV per cell
- DFT formation energy: -0.650 eV per atom
- Relative energy among the computed polymorphs: 0.1053 eV/atom

Geometry as CIF:
```
data_NdThPdAu
_cell_length_a 5.197
_cell_length_b 5.197
_cell_length_c 5.197
_cell_angle_alpha 60.00
_cell_angle_beta 60.00
_cell_angle_gamma 60.00
_symmetry_space_group_name_H-M 'P 1'
_symmetry_Int_Tables_number 1
_symmetry_space_group_name_Hall 'P 1'
loop_
_atom_site_label
_atom_site_type_symbol
_atom_site_fract_x
_atom_site_fract_y
_atom_site_fract_z
Pd1 Pd 0.500 0.500 0.500
Th1 Th 0.250 0.250 0.250
Nd1 Nd 0.750 0.750 0.750
Au1 Au 0.000 0.000 0.000
```



VASP calculation (PBE) on a relaxed structure of RbErSn2F8.

Calculated values
- Formation energy from raw total energies: -2.9666 eV per atom
- DOS at the Fermi energy: 0.00 states/eV per cell

Geometry as CIF:
```
data_RbErSn2F8
_cell_length_a 4.192
_cell_length_b 6.219
_cell_length_c 8.455
_cell_angle_alpha 96.11
_cell_angle_beta 90.00
_cell_angle_gamma 90.00
_symmetry_space_group_name_H-M 'P 1'
_symmetry_Int_Tables_number 1
_symmetry_space_group_name_Hall 'P 1'
loop_
_atom_site_label
_atom_site_type_symbol
_atom_site_fract_x
_atom_site_fract_y
_atom_site_fract_z
Er1 Er 0.000 0.000 0.000
F1 F 0.000 0.798 0.188
F2 F 0.000 0.285 0.210
F3 F 0.000 0.202 0.812
F4 F 0.500 0.722 0.557
F5 F 0.500 0.278 0.443
F6 F 0.500 0.183 0.056
F7 F 0.500 0.817 0.944
F8 F 0.000 0.715 0.790
Rb1 Rb 0.000 0.000 0.500
Sn1 Sn 0.500 0.463 0.248
Sn2 Sn 0.500 0.537 0.752
```



VASP calculation (PBE) on a relaxed structure of PmDyCuRu.

Calculated values
- DOS at the Fermi energy: 3.09 states/eV per cell
- DFT formation energy: -0.260 eV per atom
- Relative energy among the computed polymorphs: 0.0000 eV/atom

Geometry as CIF:
```
data_PmDyCuRu
_cell_length_a 4.918
_cell_length_b 4.918
_cell_length_c 4.918
_cell_angle_alpha 60.00
_cell_angle_beta 60.00
_cell_angle_gamma 60.00
_symmetry_space_group_name_H-M 'P 1'
_symmetry_Int_Tables_number 1
_symmetry_space_group_name_Hall 'P 1'
loop_
_atom_site_label
_atom_site_type_symbol
_atom_site_fract_x
_atom_site_fract_y
_atom_site_fract_z
Cu1 Cu 0.250 0.250 0.250
Pm1 Pm 0.000 0.000 0.000
Dy1 Dy 0.500 0.500 0.500
Ru1 Ru 0.750 0.750 0.750
```



VASP calculation (PBE) on a relaxed structure of Ca3Cd.

Calculated values
- DOS at the Fermi energy: 6.49 states/eV per cell
- DFT formation energy: -0.092 eV per atom

Geometry as CIF:
```
data_Ca3Cd
_cell_length_a 5.728
_cell_length_b 5.728
_cell_length_c 5.728
_cell_angle_alpha 60.00
_cell_angle_beta 60.00
_cell_angle_gamma 60.00
_symmetry_space_group_name_H-M 'P 1'
_symmetry_Int_Tables_number 1
_symmetry_space_group_name_Hall 'P 1'
loop_
_atom_site_label
_atom_site_type_symbol
_atom_site_fract_x
_atom_site_fract_y
_atom_site_fract_z
Ca1 Ca 0.000 0.000 0.000
Ca2 Ca 0.250 0.250 0.250
Ca3 Ca 0.500 0.500 0.500
Cd1 Cd 0.750 0.750 0.750
```



VASP calculation (PBE) on a relaxed structure of NdSmAgRu.

Calculated values
- DOS at the Fermi energy: 2.75 states/eV per cell
- DFT formation energy: -0.221 eV per atom
- Relative energy among the computed polymorphs: 0.0528 eV/atom

Geometry as CIF:
```
data_NdSmAgRu
_cell_length_a 5.091
_cell_length_b 5.091
_cell_length_c 5.091
_cell_angle_alpha 60.00
_cell_angle_beta 60.00
_cell_angle_gamma 60.00
_symmetry_space_group_name_H-M 'P 1'
_symmetry_Int_Tables_number 1
_symmetry_space_group_name_Hall 'P 1'
loop_
_atom_site_label
_atom_site_type_symbol
_atom_site_fract_x
_atom_site_fract_y
_atom_site_fract_z
Ru1 Ru 0.750 0.750 0.750
Nd1 Nd 0.000 0.000 0.000
Ag1 Ag 0.250 0.250 0.250
Sm1 Sm 0.500 0.500 0.500
```



VASP calculation (PBE) on a relaxed structure of LaTbPt2.

Calculated values
- DOS at the Fermi energy: 2.14 states/eV per cell
- DFT formation energy: -1.152 eV per atom
- Relative energy among the computed polymorphs: 0.0715 eV/atom

Geometry as CIF:
```
data_LaTbPt2
_cell_length_a 4.170
_cell_length_b 4.170
_cell_length_c 7.209
_cell_angle_alpha 73.19
_cell_angle_beta 73.19
_cell_angle_gamma 60.00
_symmetry_space_group_name_H-M 'P 1'
_symmetry_Int_Tables_number 1
_symmetry_space_group_name_Hall 'P 1'
loop_
_atom_site_label
_atom_site_type_symbol
_atom_site_fract_x
_atom_site_fract_y
_atom_site_fract_z
Pt1 Pt 0.246 0.246 0.262
Pt2 Pt 0.754 0.754 0.738
Tb1 Tb 0.500 0.500 0.500
La1 La 0.000 0.000 0.000
```